(1)
Below is a relaxed Y2ReI crystal, with properties calculated at the GGA-PBE level.

Cell and atoms, written as POSCAR:
```
Y2ReI
1.0
0.000 3.650 3.650
3.650 0.000 3.650
3.650 3.650 0.000
Y Re I
2 1 1
Direct
0.250 0.250 0.250
0.750 0.750 0.750
0.000 0.000 0.000
0.500 0.500 0.500
```

space-group type	Fm-3m (225)
offset from the most stable computed form	0.0	kJ per mole of atoms


(2)
Below is a relaxed Y2ReI crystal, with properties calculated at the GGA-PBE level.

Cell and atoms, written as POSCAR:
```
Y2ReI
1.0
-3.341 3.341 6.448
3.341 -3.341 6.448
3.341 3.341 -6.448
Y Re I
4 2 2
Direct
0.047 0.625 0.922
0.375 0.297 0.422
0.703 0.125 0.078
0.875 0.953 0.578
0.000 0.000 0.000
0.750 0.250 0.500
0.250 0.750 0.500
0.500 0.500 0.000
```

space-group type	I-42d (122)
offset from the most stable computed form	23.6	kJ per mole of atoms


(3)
Below is a relaxed ZnRe3I crystal, with properties calculated at the GGA-PBE level.

Cell and atoms, written as POSCAR:
```
ZnRe3I
1.0
4.819 0.000 0.000
0.000 4.819 0.000
0.000 0.000 4.819
Zn Re I
1 3 1
Direct
0.000 0.000 0.000
0.000 0.500 0.500
0.500 0.000 0.500
0.500 0.500 0.000
0.500 0.500 0.500
```

space-group type	Pm-3m (221)
offset from the most stable computed form	40.0	kJ per mole of atoms


(4)
Below is a relaxed ZnRe3I crystal, with properties calculated at the GGA-PBE level.

Cell and atoms, written as POSCAR:
```
ZnRe3I
1.0
4.611 0.000 0.000
0.000 4.611 0.000
0.000 0.000 4.611
Zn Re I
1 3 1
Direct
0.000 0.000 0.000
0.000 0.000 0.500
0.000 0.500 0.000
0.500 0.000 0.000
0.500 0.500 0.500
```

space-group type	Pm-3m (221)
offset from the most stable computed form	0.0	kJ per mole of atoms


(5)
Below is a relaxed ZnReI2 crystal, with properties calculated at the GGA-PBE level.

Cell and atoms, written as POSCAR:
```
ZnReI2
1.0
0.000 3.486 3.486
3.486 0.000 3.486
3.486 3.486 0.000
Zn Re I
1 1 2
Direct
0.000 0.000 0.000
0.500 0.500 0.500
0.250 0.250 0.250
0.750 0.750 0.750
```

space-group type	Fm-3m (225)
offset from the most stable computed form	60.0	kJ per mole of atoms


(6)
Below is a relaxed ZnReI2 crystal, with properties calculated at the GGA-PBE level.

Cell and atoms, written as POSCAR:
```
ZnReI2
1.0
-4.774 4.774 2.578
4.774 -4.774 2.578
4.774 4.774 -2.578
Zn Re I
2 2 4
Direct
0.000 0.000 0.000
0.750 0.250 0.500
0.250 0.750 0.500
0.500 0.500 0.000
0.271 0.625 0.146
0.375 0.521 0.646
0.479 0.125 0.854
0.875 0.729 0.354
```

space-group type	I-42d (122)
offset from the most stable computed form	0.0	kJ per mole of atoms


(7)
Below is a relaxed Zr2ReI crystal, with properties calculated at the GGA-PBE level.

Cell and atoms, written as POSCAR:
```
Zr2ReI
1.0
0.000 3.467 3.467
3.467 0.000 3.467
3.467 3.467 0.000
Zr Re I
2 1 1
Direct
0.250 0.250 0.250
0.750 0.750 0.750
0.000 0.000 0.000
0.500 0.500 0.500
```

space-group type	Fm-3m (225)
offset from the most stable computed form	0.0	kJ per mole of atoms


(8)
Below is a relaxed Zr2ReI crystal, with properties calculated at the GGA-PBE level.

Cell and atoms, written as POSCAR:
```
Zr2ReI
1.0
-3.066 3.066 6.723
3.066 -3.066 6.723
3.066 3.066 -6.723
Zr Re I
4 2 2
Direct
0.049 0.625 0.924
0.375 0.299 0.424
0.701 0.125 0.076
0.875 0.951 0.576
0.000 0.000 0.000
0.750 0.250 0.500
0.250 0.750 0.500
0.500 0.500 0.000
```

space-group type	I-42d (122)
offset from the most stable computed form	34.2	kJ per mole of atoms


(9)
Below is a relaxed ZrRe2I crystal, with properties calculated at the GGA-PBE level.

Cell and atoms, written as POSCAR:
```
ZrRe2I
1.0
0.000 3.322 3.322
3.322 0.000 3.322
3.322 3.322 0.000
Zr Re I
1 2 1
Direct
0.000 0.000 0.000
0.250 0.250 0.250
0.750 0.750 0.750
0.500 0.500 0.500
```

space-group type	Fm-3m (225)
offset from the most stable computed form	0.0	kJ per mole of atoms


(10)
Below is a relaxed ZrReI2 crystal, with properties calculated at the GGA-PBE level.

Cell and atoms, written as POSCAR:
```
ZrReI2
1.0
0.000 3.476 3.476
3.476 0.000 3.476
3.476 3.476 0.000
Zr Re I
1 1 2
Direct
0.000 0.000 0.000
0.500 0.500 0.500
0.250 0.250 0.250
0.750 0.750 0.750
```

space-group type	Fm-3m (225)
offset from the most stable computed form	0.0	kJ per mole of atoms


(11)
Below is a relaxed ZrReI2 crystal, with properties calculated at the GGA-PBE level.

Cell and atoms, written as POSCAR:
```
ZrReI2
1.0
-3.209 3.209 5.834
3.209 -3.209 5.834
3.209 3.209 -5.834
Zr Re I
2 2 4
Direct
0.000 0.000 0.000
0.750 0.250 0.500
0.250 0.750 0.500
0.500 0.500 0.000
0.158 0.625 0.033
0.375 0.408 0.533
0.592 0.125 0.967
0.875 0.842 0.467
```

space-group type	I-42d (122)
offset from the most stable computed form	28.2	kJ per mole of atoms


(12)
Below is a relaxed ZrReI3 crystal, with properties calculated at the GGA-PBE level.

Cell and atoms, written as POSCAR:
```
ZrReI3
1.0
5.754 0.000 0.000
0.000 5.754 0.000
0.000 0.000 5.754
Zr Re I
1 1 3
Direct
0.000 0.000 0.000
0.500 0.500 0.500
0.000 0.000 0.500
0.000 0.500 0.000
0.500 0.000 0.000
```

space-group type	Pm-3m (221)
offset from the most stable computed form	0.0	kJ per mole of atoms


no.,density of states at the Fermi level (states/eV/f.u.)
1,3.18
2,0.89
3,3.64
4,5.11
5,4.93
6,2.30
7,7.41
8,2.98
9,3.34
10,4.75
11,4.08
12,3.59